(1)
Below is a relaxed structure of DyCd4Bi, with properties calculated at the PBE level.

Values from the calculation:
- Space-group type: No. 216
- Crystal system: cubic

Lattice parameters (Å, degrees): 5.979 5.979 5.979 60.00 60.00 60.00
Positions (direct):
Dy (0.000, 0.000, 0.000)
Cd (0.124, 0.625, 0.625)
Cd (0.625, 0.124, 0.625)
Cd (0.625, 0.625, 0.124)
Cd (0.625, 0.625, 0.625)
Bi (0.250, 0.250, 0.250)

***

(2)
Below is a relaxed structure of Dy4CdBi2, with properties calculated at the PBE level.

Values from the calculation:
- Space-group type: No. 11
- Crystal system: monoclinic

Lattice parameters (Å, degrees): 6.207 6.691 10.356 90.00 103.61 90.00
Positions (direct):
Dy (0.026, 0.005, 0.256)
Dy (0.026, 0.495, 0.256)
Dy (0.358, 0.750, 0.534)
Dy (0.463, 0.750, 0.161)
Dy (0.537, 0.250, 0.839)
Dy (0.642, 0.250, 0.466)
Dy (0.974, 0.505, 0.744)
Dy (0.974, 0.995, 0.744)
Cd (0.419, 0.750, 0.829)
Cd (0.581, 0.250, 0.171)
Bi (0.130, 0.250, 0.007)
Bi (0.189, 0.250, 0.541)
Bi (0.811, 0.750, 0.459)
Bi (0.870, 0.750, 0.993)

***

(3)
Below is a relaxed structure of Dy2Cd16Bi, with properties calculated at the PBE level.

Values from the calculation:
- Space-group type: No. 160
- Crystal system: trigonal

Lattice parameters (Å, degrees): 7.689 7.689 7.689 84.13 84.13 84.13
Positions (direct):
Dy (0.000, 0.000, 0.000)
Dy (0.329, 0.329, 0.329)
Cd (0.012, 0.012, 0.509)
Cd (0.012, 0.509, 0.012)
Cd (0.190, 0.644, 0.644)
Cd (0.308, 0.308, 0.861)
Cd (0.308, 0.861, 0.308)
Cd (0.343, 0.671, 0.982)
Cd (0.343, 0.982, 0.671)
Cd (0.509, 0.012, 0.012)
Cd (0.563, 0.563, 0.563)
Cd (0.644, 0.190, 0.644)
Cd (0.644, 0.644, 0.190)
Cd (0.671, 0.343, 0.982)
Cd (0.671, 0.982, 0.343)
Cd (0.861, 0.308, 0.308)
Cd (0.982, 0.343, 0.671)
Cd (0.982, 0.671, 0.343)
Bi (0.774, 0.774, 0.774)

***

(4)
Below is a relaxed structure of DyCdBi2, with properties calculated at the PBE level.

Values from the calculation:
- Space-group type: No. 129
- Crystal system: tetragonal

Lattice parameters (Å, degrees): 4.558 4.558 10.864 90.00 90.00 90.00
Positions (direct):
Dy (0.250, 0.250, 0.231)
Dy (0.750, 0.750, 0.769)
Cd (0.250, 0.750, 0.500)
Cd (0.750, 0.250, 0.500)
Bi (0.250, 0.250, 0.717)
Bi (0.250, 0.750, 0.000)
Bi (0.750, 0.250, 0.000)
Bi (0.750, 0.750, 0.283)

***

(5)
Below is a relaxed structure of DyErCdBi, with properties calculated at the PBE level.

Values from the calculation:
- Space-group type: No. 216
- Crystal system: cubic

Lattice parameters (Å, degrees): 5.381 5.381 5.381 60.00 60.00 60.00
Positions (direct):
Dy (0.000, 0.000, 0.000)
Er (0.500, 0.500, 0.500)
Cd (0.750, 0.750, 0.750)
Bi (0.250, 0.250, 0.250)

***

(6)
Below is a relaxed structure of EuDyCdBi, with properties calculated at the PBE level.

Values from the calculation:
- Space-group type: No. 216
- Crystal system: cubic

Lattice parameters (Å, degrees): 5.506 5.506 5.506 60.00 60.00 60.00
Positions (direct):
Eu (0.000, 0.000, 0.000)
Dy (0.500, 0.500, 0.500)
Cd (0.250, 0.250, 0.250)
Bi (0.750, 0.750, 0.750)

***

(7)
Below is a relaxed structure of DyCdHgBi, with properties calculated at the PBE level.

Values from the calculation:
- Energy above the most stable polymorph in this dataset: 0.0 kJ/mol of formula units
- Space-group type: No. 47
- Crystal system: orthorhombic

Lattice parameters (Å, degrees): 4.433 4.609 5.084 90.00 90.00 90.00
Positions (direct):
Dy (0.000, 0.000, 0.000)
Cd (0.000, 0.500, 0.500)
Hg (0.500, 0.000, 0.500)
Bi (0.500, 0.500, 0.000)

***

(8)
Below is a relaxed structure of DyCdHgBi, with properties calculated at the PBE level.

Values from the calculation:
- Energy above the most stable polymorph in this dataset: 62.5 kJ/mol of formula units
- Space-group type: No. 216
- Crystal system: cubic

Lattice parameters (Å, degrees): 5.341 5.341 5.341 60.00 60.00 60.00
Positions (direct):
Dy (0.000, 0.000, 0.000)
Cd (0.500, 0.500, 0.500)
Hg (0.250, 0.250, 0.250)
Bi (0.750, 0.750, 0.750)

***

Number 1: formation energy from the elements -88 meV per atom. Number 2: formation energy from the elements -382 meV per atom. Number 3: formation energy from the elements -88 meV per atom. Number 4: formation energy from the elements -368 meV per atom. Number 5: formation energy from the elements -392 meV per atom. Number 6: formation energy from the elements -459 meV per atom. Number 7: formation energy from the elements -399 meV per atom. Number 8: formation energy from the elements -237 meV per atom.